Density functional theory data (GGA-PBE) for crystalline HfNi6Ge4 at its relaxed geometry.

Computed properties:
calculated total energy	-6.14	eV per atom
V	147	Å³/cell

Lattice parameters (Å, degrees): 6.8116 6.8116 3.6583 90.00 90.00 120.00
Element x y z (fractional)
Hf  0.0000  0.0000  0.0000
Ni  0.2016  0.4032  0.5000
Ni  0.2016  0.7984  0.5000
Ni  0.5360  0.0720  0.0000
Ni  0.5360  0.4640  0.0000
Ni  0.5968  0.7984  0.5000
Ni  0.9280  0.4640  0.0000
Ge  0.3333  0.6667  0.0000
Ge  0.3764  0.1882  0.5000
Ge  0.8118  0.1882  0.5000
Ge  0.8118  0.6236  0.5000

---

Density functional theory data (GGA-PBE) for crystalline HfNi3Ge at its relaxed geometry.

Computed properties:
calculated total energy	-6.19	eV per atom
relative energy among the computed polymorphs	186	meV per atom
V	79	Å³/cell

Lattice parameters (Å, degrees): 4.2919 4.2919 4.2919 90.00 90.00 90.00
Element x y z (fractional)
Hf  0.0000  0.0000  0.0000
Ni  0.0000  0.5000  0.5000
Ni  0.5000  0.0000  0.5000
Ni  0.5000  0.5000  0.0000
Ge  0.5000  0.5000  0.5000